(1)
This record from Alexandria describes crystalline ErBiH at its relaxed geometry. The functional is PBE.

The total magnetization comes out at 0.000 μB per cell.

The structure belongs to space group Pnma (No. 62); the cell edges are 6.791, 6.267 and 6.426 Å and the angles 90.00°, 90.00° and 90.00°. The asymmetric unit holds Er at (0.165, 0.250, 0.138), Bi at (0.241, 0.750, 0.157) and H at (0.040, 0.750, 0.638).


(2)
This record from Alexandria describes crystalline ErBiH at its relaxed geometry. The functional is PBE.

The total magnetization comes out at 0.000 μB per cell.

The structure belongs to space group P-1 (No. 2); the cell edges are 3.514, 5.894 and 6.405 Å and the angles 103.55°, 105.91° and 90.13°. The asymmetric unit holds Er at (0.138, 0.318, 0.277), Bi at (0.396, 0.193, 0.796) and H at (0.272, 0.622, 0.543).


(3)
This record from Alexandria describes crystalline ErBiH at its relaxed geometry. The functional is PBE.

The total magnetization comes out at 0.000 μB per cell.

The structure belongs to space group P-6m2 (No. 187); the cell edges are 3.7657, 3.7657 and 4.8266 Å and the angles 90.00°, 90.00° and 120.00°. The asymmetric unit holds Er at (0.0000, 0.0000, 0.0000), Bi at (0.6667, 0.3333, 0.5000) and H at (0.3333, 0.6667, 0.0000).


Sorted by energy, starting with the most stable: (3), (2), (1).


(1)
This record from Alexandria describes crystalline ErBiH2 at its relaxed geometry. The functional is PBE.

The total magnetization comes out at 0.000 μB per cell.

The structure belongs to space group R-3m (No. 166, hexagonal axes); the cell edges are 3.5838, 3.5838 and 17.4540 Å and the angles 90.00°, 90.00° and 120.00°. The asymmetric unit holds Er at (0.0000, 0.0000, 0.0000), Bi at (0.0000, 0.0000, 0.5000) and H at (0.0000, 0.0000, 0.3068).


(2)
This record from Alexandria describes crystalline ErBiH2 at its relaxed geometry. The functional is PBE.

The total magnetization comes out at 0.000 μB per cell.

The structure belongs to space group Cm (No. 8); the cell edges are 6.208, 3.582 and 6.415 Å and the angles 90.00°, 108.75° and 90.00°. The asymmetric unit holds Er at (0.000, 0.000, 0.000), Bi at (0.185, 0.000, 0.550), H at (0.174, 0.500, 0.023) and H at (0.369, 0.000, 0.107).


Sorted by energy, starting with the most stable: (2), (1).


(1)
This record from Alexandria describes crystalline ErHgBi at its relaxed geometry. The functional is PBE.

The total magnetization comes out at 0.000 μB per cell.

The structure belongs to space group Pmmn (No. 59, origin choice 2); the cell edges are 4.413, 4.426 and 9.528 Å and the angles 90.00°, 90.00° and 90.00°. The asymmetric unit holds Er at (0.250, 0.250, 0.151), Hg at (0.250, 0.250, 0.474) and Bi at (0.250, 0.250, 0.818).


(2)
This record from Alexandria describes crystalline ErHgBi at its relaxed geometry. The functional is PBE.

The total magnetization comes out at 0.000 μB per cell.

The structure belongs to space group I4mm (No. 107); the cell edges are 4.250, 4.250 and 9.411 Å and the angles 90.00°, 90.00° and 90.00°. The asymmetric unit holds Er at (0.000, 0.000, 0.000), Hg at (0.000, 0.000, 0.323) and Bi at (0.000, 0.000, 0.652).


Sorted by energy, starting with the most stable: (1), (2).